[1]
Entry from Alexandria: a relaxed MnOsRu2 crystal (PBE).

Cell: 3.705 3.705 9.129 Å, 78.29 78.29 90.00°
Last column: magnetic moment on the atom in μB.
Positions (direct):
Ru 0.603 0.125 0.250  -0.21
Ru 0.147 0.625 0.250  -0.21
Ru 0.375 0.397 0.750  -0.21
Ru 0.875 0.853 0.750  -0.21
Mn 0.500 0.500 0.000  2.75
Mn 0.250 0.750 0.500  2.75
Os 0.000 0.000 0.000  -0.07
Os 0.750 0.250 0.500  -0.07

Computed properties:
E (eV/atom): -9.070
ΔH_f (0 K) (eV per atom): 0.668
Density (g/cm³): 12.4



[2]
Entry from Alexandria: a relaxed MgSc3Ti crystal (PBE).

Cell: 5.122 5.122 5.122 Å, 90.00 90.00 90.00°
Positions (direct):
Sc 0.000 0.500 0.000
Sc 0.000 0.000 0.500
Sc 0.500 0.000 0.000
Mg 0.000 0.000 0.000
Ti 0.500 0.500 0.500

Computed properties:
E (eV/atom): -4.656
ΔH_f (0 K) (eV per atom): 1.041
Density (g/cm³): 2.6



[3]
Entry from Alexandria: a relaxed CsCrNiSe3 crystal (PBE).

Cell: 3.769 9.168 10.002 Å, 118.66 90.00 90.00°
Last column: magnetic moment on the atom in μB.
Positions (direct):
Cs 0.250 0.241 0.257  -0.01
Cs 0.750 0.759 0.743  -0.01
Cr 0.250 0.686 0.158  2.64
Cr 0.750 0.314 0.842  2.64
Ni 0.250 0.084 0.598  -0.65
Ni 0.750 0.916 0.402  -0.65
Se 0.750 0.867 0.149  -0.14
Se 0.250 0.133 0.851  -0.14
Se 0.250 0.783 0.441  -0.13
Se 0.750 0.217 0.559  -0.13
Se 0.750 0.485 0.132  -0.15
Se 0.250 0.515 0.868  -0.15

Computed properties:
Formation energy without anion corrections (meV/atom): -645.6
E (eV/atom): -5.098
Density (g/cm³): 5.3



[4]
Entry from Alexandria: a relaxed LiDyC crystal (PBE).

Cell: 4.018 4.018 4.018 Å, 60.00 60.00 60.00°
Positions (direct):
C 0.250 0.250 0.250
Li 0.500 0.500 0.500
Dy 0.000 0.000 0.000

Computed properties:
E (eV/atom): -5.380
ΔH_f (0 K) (eV per atom): -0.133
Density (g/cm³): 6.6



[5]
Entry from Alexandria: a relaxed GdInPdPt crystal (PBE).

Cell: 4.835 4.835 4.835 Å, 60.00 60.00 60.00°
Last column: magnetic moment on the atom in μB.
Positions (direct):
Gd 0.500 0.500 0.500  7.01
Pd 0.250 0.250 0.250  0.03
Pt 0.750 0.750 0.750  0.03
In 0.000 0.000 0.000  0.02

Computed properties:
E (eV/atom): -7.859
ΔH_f (0 K) (eV per atom): -0.846
Density (g/cm³): 11.9



[6]
Entry from Alexandria: a relaxed TbThNp crystal (PBE).

Cell: 3.510 5.763 8.708 Å, 99.38 101.63 90.00°
Last column: magnetic moment on the atom in μB.
Positions (direct):
Np 0.765 0.141 0.530  0.13
Np 0.235 0.859 0.470  0.13
Tb 0.561 0.782 0.123  0.00
Tb 0.439 0.218 0.877  0.00
Th 0.869 0.688 0.738  0.00
Th 0.131 0.312 0.262  0.00

Computed properties:
E (eV/atom): -8.118
ΔH_f (0 K) (eV per atom): 0.212
Density (g/cm³): 12.3



[7]
Entry from Alexandria: a relaxed CrAsS2 crystal (PBE).

Cell: 7.954 7.954 7.954 Å, 24.52 24.52 24.52°
Last column: magnetic moment on the atom in μB.
Positions (direct):
Cr 0.500 0.500 0.500  2.76
As 0.000 0.000 0.000  0.03
S 0.891 0.891 0.891  -0.05
S 0.109 0.109 0.109  -0.05

Computed properties:
Formation energy without anion corrections (meV/atom): -298.7
E (eV/atom): -5.931
Density (g/cm³): 4.2



[8]
Entry from Alexandria: a relaxed TlAgSe2 crystal (PBE).

Cell: 6.598 6.598 6.915 Å, 105.48 105.48 25.98°
Positions (direct):
Ag 0.330 0.330 0.982
Se 0.986 0.986 0.221
Se 0.718 0.718 0.672
Tl 0.466 0.466 0.625

Computed properties:
Formation energy without anion corrections (meV/atom): -11.4
E (eV/atom): -3.058
Density (g/cm³): 6.2



[9]
Entry from Alexandria: a relaxed RbLi2Br2 crystal (PBE).

Cell: 9.381 9.381 3.817 Å, 90.00 90.00 90.00°
Positions (direct):
Br 0.371 0.871 0.000
Br 0.871 0.629 0.000
Br 0.629 0.129 0.000
Br 0.129 0.371 0.000
Rb 0.000 0.000 0.000
Rb 0.500 0.500 0.000
Li 0.098 0.598 0.500
Li 0.598 0.902 0.500
Li 0.902 0.402 0.500
Li 0.402 0.098 0.500

Computed properties:
Formation energy without anion corrections (meV/atom): -913.7
E (eV/atom): -2.542
Density (g/cm³): 2.6



[10]
Entry from Alexandria: a relaxed SrCa2Mo crystal (PBE).

Cell: 5.659 5.659 5.659 Å, 60.00 60.00 60.00°
Last column: magnetic moment on the atom in μB.
Positions (direct):
Sr 0.000 0.000 0.000  -0.07
Mo 0.500 0.500 0.500  2.46
Ca 0.250 0.250 0.250  -0.02
Ca 0.750 0.750 0.750  -0.02

Computed properties:
E (eV/atom): -3.381
ΔH_f (0 K) (eV per atom): 0.748
Density (g/cm³): 3.4



[11]
Entry from Alexandria: a relaxed Dy5Ge2Sb2 crystal (PBE).

Cell: 8.548 8.548 7.942 Å, 90.00 90.00 124.83°
Positions (direct):
Dy 0.037 0.291 0.337
Dy 0.963 0.709 0.663
Dy 0.463 0.209 0.837
Dy 0.791 0.537 0.163
Dy 0.537 0.791 0.163
Dy 0.209 0.463 0.837
Dy 0.709 0.963 0.663
Dy 0.291 0.037 0.337
Dy 0.000 0.000 0.000
Dy 0.500 0.500 0.500
Ge 0.361 0.361 0.138
Ge 0.639 0.639 0.862
Ge 0.139 0.139 0.638
Ge 0.861 0.861 0.362
Sb 0.795 0.205 0.000
Sb 0.205 0.795 0.000
Sb 0.705 0.295 0.500
Sb 0.295 0.705 0.500

Computed properties:
Formation energy without anion corrections (meV/atom): -975.3
E (eV/atom): -5.474
Density (g/cm³): 8.4



[12]
Entry from Alexandria: a relaxed RbAsP2O crystal (PBE).

Cell: 5.354 5.354 4.217 Å, 90.00 90.00 90.00°
Last column: magnetic moment on the atom in μB.
Positions (direct):
P 0.000 0.500 0.000  0.21
P 0.500 0.000 0.000  0.21
As 0.500 0.500 0.500  -0.23
O 0.000 0.000 0.500  0.12
Rb 0.000 0.000 0.000  0.00

Computed properties:
Formation energy without anion corrections (meV/atom): 1784.2
E (eV/atom): -2.495
Density (g/cm³): 3.3



> Among the records above, which one has the highest E?

RbAsP2O